1.
Entry from the Alexandria database: crystalline ThHSe2 at its relaxed geometry (PBE). Values from VASP.

```
&SYSTEM
  ibrav = 0, nat = 4, ntyp = 3
/
ATOMIC_SPECIES
Se 78.96 Se.upf
Th 232.04 Th.upf
H 1.01 H.upf
ATOMIC_POSITIONS crystal
Se 0.159 0.161 0.318
Th 0.500 0.509 0.000
Se 0.841 0.857 0.682
H 0.500 0.009 0.000
CELL_PARAMETERS angstrom
3.984 0.002 -0.009
0.001 4.072 0.000
-2.000 -2.034 4.714
```

2.
Entry from the Alexandria database: crystalline ThHSe2 at its relaxed geometry (PBE). Values from VASP.

```
&SYSTEM
  ibrav = 0, nat = 8, ntyp = 3
/
ATOMIC_SPECIES
H 1.01 H.upf
Th 232.04 Th.upf
Se 78.96 Se.upf
ATOMIC_POSITIONS crystal
H 0.105 0.391 0.179
Th 0.323 0.748 0.771
Th 0.677 0.252 0.229
Se 0.763 0.749 0.495
Se 0.649 0.189 0.874
H 0.895 0.609 0.821
Se 0.237 0.251 0.505
Se 0.351 0.811 0.126
CELL_PARAMETERS angstrom
4.005 0.770 -0.168
0.831 5.125 -0.427
-0.265 -0.719 8.553
```

In terms of stability, 2 leads; the second structure lies 213 meV per atom higher.

1.
Entry from the Alexandria database: crystalline TiHSe3 at its relaxed geometry (PBE). Values from VASP.

```
&SYSTEM
  ibrav = 0, nat = 5, ntyp = 3
/
ATOMIC_SPECIES
Se 78.96 Se.upf
Ti 47.87 Ti.upf
H 1.01 H.upf
ATOMIC_POSITIONS crystal
Se 0.000 0.500 0.000
Se 0.000 0.000 0.500
Ti 0.500 0.500 0.500
Se 0.500 0.000 0.000
H 0.000 0.000 0.000
CELL_PARAMETERS angstrom
4.326 0.000 0.000
0.000 4.326 0.000
0.000 0.000 4.326
```

2.
Entry from the Alexandria database: crystalline TiHSe3 at its relaxed geometry (PBE). Values from VASP.

```
&SYSTEM
  ibrav = 0, nat = 5, ntyp = 3
/
ATOMIC_SPECIES
Ti 47.87 Ti.upf
H 1.01 H.upf
Se 78.96 Se.upf
ATOMIC_POSITIONS crystal
Ti 0.000 0.000 0.000
H 0.500 0.500 0.500
Se 0.000 0.500 0.000
Se 0.000 0.000 0.500
Se 0.500 0.000 0.000
CELL_PARAMETERS angstrom
4.947 0.000 0.000
0.000 4.947 0.000
0.000 0.000 4.947
```

In terms of stability, 2 leads; the second structure lies 350 meV per atom higher.

1.
Entry from the Alexandria database: crystalline Tl3H4Se4 at its relaxed geometry (PBE). Values from VASP.

```
&SYSTEM
  ibrav = 0, nat = 11, ntyp = 3
/
ATOMIC_SPECIES
H 1.01 H.upf
Tl 204.38 Tl.upf
Se 78.96 Se.upf
ATOMIC_POSITIONS crystal
H 0.703 0.408 0.855
Tl 0.871 0.986 0.000
Se 0.446 0.282 0.868
Se 0.557 0.148 0.419
Se 0.499 0.843 0.584
Tl 0.929 0.720 0.712
Tl 0.147 0.259 0.288
H 0.752 0.840 0.363
H 0.230 0.715 0.120
Se 0.534 0.653 0.149
H 0.333 0.148 0.643
CELL_PARAMETERS angstrom
-1.999 -3.467 2.107
3.327 -3.032 2.177
-5.363 5.450 12.983
```

2.
Entry from the Alexandria database: crystalline Tl3H4Se4 at its relaxed geometry (PBE). Values from VASP.

```
&SYSTEM
  ibrav = 0, nat = 11, ntyp = 3
/
ATOMIC_SPECIES
H 1.01 H.upf
Tl 204.38 Tl.upf
Se 78.96 Se.upf
ATOMIC_POSITIONS crystal
H 0.902 0.763 0.533
Tl 0.000 0.000 0.000
H 0.098 0.237 0.467
Se 0.720 0.545 0.869
Se 0.280 0.455 0.131
H 0.735 0.817 0.826
Se 0.315 0.198 0.358
Tl 0.167 0.303 0.656
H 0.265 0.183 0.174
Tl 0.833 0.697 0.344
Se 0.685 0.802 0.642
CELL_PARAMETERS angstrom
-0.772 3.500 -2.948
-4.119 -0.298 1.434
3.503 16.062 3.181
```

In terms of stability, 2 leads; the second structure lies 13 meV per atom higher.

1.
Entry from the Alexandria database: crystalline UHSe2 at its relaxed geometry (PBE). Values from VASP.

```
&SYSTEM
  ibrav = 0, nat = 16, ntyp = 3
/
ATOMIC_SPECIES
Se 78.96 Se.upf
H 1.01 H.upf
U 238.03 U.upf
ATOMIC_POSITIONS crystal
Se 0.902 0.396 0.107
H 0.656 0.444 0.066
H 0.156 0.056 0.566
Se 0.858 0.399 0.614
U 0.358 0.423 0.633
U 0.858 0.577 0.367
H 0.656 0.944 0.434
Se 0.358 0.101 0.114
Se 0.402 0.604 0.893
Se 0.358 0.601 0.386
Se 0.858 0.899 0.886
Se 0.402 0.104 0.607
U 0.358 0.923 0.867
U 0.858 0.077 0.133
Se 0.902 0.896 0.393
H 0.156 0.556 0.934
CELL_PARAMETERS angstrom
-1.824 -5.087 -1.669
-1.527 -2.329 8.770
-8.554 3.271 -0.621
```

2.
Entry from the Alexandria database: crystalline UHSe2 at its relaxed geometry (PBE). Values from VASP.

```
&SYSTEM
  ibrav = 0, nat = 4, ntyp = 3
/
ATOMIC_SPECIES
Se 78.96 Se.upf
U 238.03 U.upf
H 1.01 H.upf
ATOMIC_POSITIONS crystal
Se 0.543 0.024 0.568
U 0.042 0.271 0.312
Se 0.207 0.851 0.057
H 0.708 0.604 0.313
CELL_PARAMETERS angstrom
3.563 -0.008 -1.387
-2.054 3.225 -0.027
0.793 0.515 7.190
```

3.
Entry from the Alexandria database: crystalline UHSe2 at its relaxed geometry (PBE). Values from VASP.

```
&SYSTEM
  ibrav = 0, nat = 4, ntyp = 3
/
ATOMIC_SPECIES
Se 78.96 Se.upf
U 238.03 U.upf
H 1.01 H.upf
ATOMIC_POSITIONS crystal
Se 0.914 0.914 0.257
U 0.500 0.500 0.500
Se 0.086 0.086 0.743
H 0.000 0.000 0.000
CELL_PARAMETERS angstrom
-2.058 -2.085 -2.842
-1.009 -3.899 0.660
-6.923 0.008 2.076
```

In terms of stability, 2 leads; the second structure lies 285 meV per atom higher.

1.
Entry from the Alexandria database: crystalline VH2Se at its relaxed geometry (PBE). Values from VASP.

```
&SYSTEM
  ibrav = 0, nat = 4, ntyp = 3
/
ATOMIC_SPECIES
V 50.94 V.upf
H 1.01 H.upf
Se 78.96 Se.upf
ATOMIC_POSITIONS crystal
V 0.000 0.000 0.000
H 0.906 0.906 0.282
H 0.094 0.094 0.718
Se 0.500 0.500 0.500
CELL_PARAMETERS angstrom
2.852 0.000 0.000
1.426 2.470 0.000
1.426 0.823 6.159
```

2.
Entry from the Alexandria database: crystalline VH2Se at its relaxed geometry (PBE). Values from VASP.

```
&SYSTEM
  ibrav = 0, nat = 8, ntyp = 3
/
ATOMIC_SPECIES
H 1.01 H.upf
V 50.94 V.upf
Se 78.96 Se.upf
ATOMIC_POSITIONS crystal
H 0.375 0.625 0.250
H 0.875 0.625 0.750
V 0.500 0.500 0.000
H 0.375 0.625 0.750
Se 0.000 0.000 0.000
V 0.250 0.750 0.500
Se 0.750 0.250 0.500
H 0.375 0.125 0.250
CELL_PARAMETERS angstrom
-2.881 2.249 -0.330
-2.251 -2.747 0.923
-2.013 1.359 6.427
```

In terms of stability, 2 leads; the second structure lies 805 meV per atom higher.

1.
Entry from the Alexandria database: crystalline V2HSe at its relaxed geometry (PBE). Values from VASP.

```
&SYSTEM
  ibrav = 0, nat = 4, ntyp = 3
/
ATOMIC_SPECIES
V 50.94 V.upf
Se 78.96 Se.upf
H 1.01 H.upf
ATOMIC_POSITIONS crystal
V 0.872 0.872 0.385
Se 0.500 0.500 0.500
H 0.000 0.000 0.000
V 0.128 0.128 0.615
CELL_PARAMETERS angstrom
4.147 0.000 0.000
2.073 3.591 0.000
2.073 1.197 4.512
```

2.
Entry from the Alexandria database: crystalline V2HSe at its relaxed geometry (PBE). Values from VASP.

```
&SYSTEM
  ibrav = 0, nat = 8, ntyp = 3
/
ATOMIC_SPECIES
V 50.94 V.upf
H 1.01 H.upf
Se 78.96 Se.upf
ATOMIC_POSITIONS crystal
V 0.451 0.125 0.250
H 0.500 0.500 0.000
V 0.375 0.549 0.750
V 0.299 0.625 0.250
Se 0.750 0.250 0.500
V 0.875 0.701 0.750
Se 0.000 0.000 0.000
H 0.250 0.750 0.500
CELL_PARAMETERS angstrom
4.521 0.000 0.000
0.000 4.521 0.000
2.261 2.261 5.149
```

3.
Entry from the Alexandria database: crystalline V2HSe at its relaxed geometry (PBE). Values from VASP.

```
&SYSTEM
  ibrav = 0, nat = 4, ntyp = 3
/
ATOMIC_SPECIES
V 50.94 V.upf
H 1.01 H.upf
Se 78.96 Se.upf
ATOMIC_POSITIONS crystal
V 0.750 0.750 0.750
V 0.250 0.250 0.250
H 0.000 0.000 0.000
Se 0.500 0.500 0.500
CELL_PARAMETERS angstrom
-0.573 -3.528 2.001
-3.637 -1.877 -0.158
-0.410 -3.497 -2.091
```

In terms of stability, 2 leads; the second structure lies 145 meV per atom higher.

1.
Entry from the Alexandria database: crystalline VH2Se2 at its relaxed geometry (PBE). Values from VASP.

```
&SYSTEM
  ibrav = 0, nat = 10, ntyp = 3
/
ATOMIC_SPECIES
Se 78.96 Se.upf
V 50.94 V.upf
H 1.01 H.upf
ATOMIC_POSITIONS crystal
Se 0.563 0.500 0.758
V 0.135 0.731 0.000
Se 0.437 0.500 0.242
H 0.956 0.000 0.168
V 0.865 0.269 0.000
H 0.044 0.000 0.832
Se 0.063 0.500 0.758
H 0.759 0.000 0.000
Se 0.937 0.500 0.242
H 0.241 0.000 0.000
CELL_PARAMETERS angstrom
-3.637 -1.519 -3.779
-2.569 -4.596 0.376
-6.382 2.957 2.892
```

2.
Entry from the Alexandria database: crystalline VH2Se2 at its relaxed geometry (PBE). Values from VASP.

```
&SYSTEM
  ibrav = 0, nat = 5, ntyp = 3
/
ATOMIC_SPECIES
Se 78.96 Se.upf
H 1.01 H.upf
V 50.94 V.upf
ATOMIC_POSITIONS crystal
Se 0.605 0.605 0.185
H 0.167 0.167 0.499
H 0.833 0.833 0.501
V 0.000 0.000 0.000
Se 0.395 0.395 0.815
CELL_PARAMETERS angstrom
-2.020 1.816 1.621
-3.044 -0.830 0.222
0.119 -4.303 8.054
```

In terms of stability, 1 leads; the second structure lies 429 meV per atom higher.

1.
Entry from the Alexandria database: crystalline HW2Se at its relaxed geometry (PBE). Values from VASP.

```
&SYSTEM
  ibrav = 0, nat = 8, ntyp = 3
/
ATOMIC_SPECIES
W 183.84 W.upf
Se 78.96 Se.upf
H 1.01 H.upf
ATOMIC_POSITIONS crystal
W 0.250 0.625 0.250
W 0.500 0.125 0.250
W 0.375 0.500 0.750
Se 0.000 0.000 0.000
H 0.500 0.500 0.000
H 0.250 0.750 0.500
W 0.875 0.750 0.750
Se 0.750 0.250 0.500
CELL_PARAMETERS angstrom
4.851 0.000 0.000
0.000 4.851 0.000
2.426 2.426 5.066
```

2.
Entry from the Alexandria database: crystalline HW2Se at its relaxed geometry (PBE). Values from VASP.

```
&SYSTEM
  ibrav = 0, nat = 4, ntyp = 3
/
ATOMIC_SPECIES
Se 78.96 Se.upf
W 183.84 W.upf
H 1.01 H.upf
ATOMIC_POSITIONS crystal
Se 0.500 0.500 0.500
W 0.750 0.750 0.750
W 0.250 0.250 0.250
H 0.000 0.000 0.000
CELL_PARAMETERS angstrom
0.000 2.989 2.989
2.989 0.000 2.989
2.989 2.989 0.000
```

In terms of stability, 1 leads; the second structure lies 444 meV per atom higher.

1.
Entry from the Alexandria database: crystalline YHSe2 at its relaxed geometry (PBE). Values from VASP.

```
&SYSTEM
  ibrav = 0, nat = 16, ntyp = 3
/
ATOMIC_SPECIES
Y 88.91 Y.upf
H 1.01 H.upf
Se 78.96 Se.upf
ATOMIC_POSITIONS crystal
Y 0.391 0.750 0.100
Y 0.609 0.250 0.900
H 0.415 0.750 0.737
Se 0.412 0.250 0.733
Se 0.241 0.750 0.492
Se 0.741 0.750 0.008
H 0.085 0.250 0.237
Y 0.891 0.750 0.400
Se 0.088 0.750 0.233
Se 0.259 0.250 0.992
Se 0.759 0.250 0.508
H 0.915 0.750 0.763
Se 0.588 0.750 0.267
Y 0.109 0.250 0.600
H 0.585 0.250 0.263
Se 0.912 0.250 0.767
CELL_PARAMETERS angstrom
7.087 0.000 0.000
0.000 3.923 0.000
0.000 0.000 14.879
```

2.
Entry from the Alexandria database: crystalline YHSe2 at its relaxed geometry (PBE). Values from VASP.

```
&SYSTEM
  ibrav = 0, nat = 4, ntyp = 3
/
ATOMIC_SPECIES
Se 78.96 Se.upf
H 1.01 H.upf
Y 88.91 Y.upf
ATOMIC_POSITIONS crystal
Se 0.306 0.866 0.235
Se 0.755 0.495 0.055
H 0.987 0.651 0.131
Y 0.517 0.672 0.640
CELL_PARAMETERS angstrom
-3.975 -0.184 -5.906
2.357 -3.537 0.024
-3.510 0.224 2.384
```

In terms of stability, 2 leads; the second structure lies 348 meV per atom higher.

1.
Entry from the Alexandria database: crystalline YHSe2 at its relaxed geometry (PBE). Values from VASP.

```
&SYSTEM
  ibrav = 0, nat = 8, ntyp = 3
/
ATOMIC_SPECIES
Y 88.91 Y.upf
Se 78.96 Se.upf
H 1.01 H.upf
ATOMIC_POSITIONS crystal
Y 0.479 0.383 0.713
Se 0.479 0.514 0.208
Se 0.979 0.135 0.505
H 0.980 0.263 0.294
Se 0.979 0.644 0.708
Y 0.979 0.775 0.213
Se 0.479 0.023 0.005
H 0.478 0.895 0.794
CELL_PARAMETERS angstrom
4.428 0.000 0.000
-0.002 7.041 0.000
0.000 0.000 5.600
```

2.
Entry from the Alexandria database: crystalline YHSe2 at its relaxed geometry (PBE). Values from VASP.

```
&SYSTEM
  ibrav = 0, nat = 8, ntyp = 3
/
ATOMIC_SPECIES
H 1.01 H.upf
Se 78.96 Se.upf
Y 88.91 Y.upf
ATOMIC_POSITIONS crystal
H 0.250 0.250 0.500
Se 0.250 0.750 0.000
Se 0.250 0.250 0.000
Y 0.250 0.750 0.500
H 0.750 0.750 0.500
Se 0.750 0.750 0.000
Y 0.750 0.250 0.500
Se 0.750 0.250 0.000
CELL_PARAMETERS angstrom
-4.818 -1.898 -2.212
2.914 -3.182 -3.617
-0.977 -6.007 0.115
```

3.
Entry from the Alexandria database: crystalline YHSe2 at its relaxed geometry (PBE). Values from VASP.

```
&SYSTEM
  ibrav = 0, nat = 8, ntyp = 3
/
ATOMIC_SPECIES
Se 78.96 Se.upf
H 1.01 H.upf
Y 88.91 Y.upf
ATOMIC_POSITIONS crystal
Se 0.242 0.682 0.287
H 0.742 0.953 0.535
Se 0.242 0.222 0.287
Y 0.242 0.708 0.786
Se 0.742 0.477 0.798
Y 0.742 0.450 0.298
H 0.242 0.205 0.549
Se 0.742 0.936 0.798
CELL_PARAMETERS angstrom
4.180 0.001 0.000
-0.003 8.824 0.066
0.000 0.146 5.661
```

4.
Entry from the Alexandria database: crystalline YHSe2 at its relaxed geometry (PBE). Values from VASP.

```
&SYSTEM
  ibrav = 0, nat = 8, ntyp = 3
/
ATOMIC_SPECIES
Se 78.96 Se.upf
H 1.01 H.upf
Y 88.91 Y.upf
ATOMIC_POSITIONS crystal
Se 0.549 0.125 0.250
H 0.500 0.500 0.000
H 0.250 0.750 0.500
Se 0.875 0.799 0.750
Y 0.000 0.000 0.000
Se 0.375 0.451 0.750
Y 0.750 0.250 0.500
Se 0.201 0.625 0.250
CELL_PARAMETERS angstrom
-4.164 1.500 -4.809
-3.619 -5.231 1.502
-5.830 0.137 0.649
```

In terms of stability, 3 leads; the second structure lies 8 meV per atom higher.

1.
Entry from the Alexandria database: crystalline YHSe2 at its relaxed geometry (PBE). Values from VASP.

```
&SYSTEM
  ibrav = 0, nat = 8, ntyp = 3
/
ATOMIC_SPECIES
H 1.01 H.upf
Se 78.96 Se.upf
Y 88.91 Y.upf
ATOMIC_POSITIONS crystal
H 0.250 0.322 0.822
Se 0.711 0.420 0.348
Se 0.211 0.152 0.080
Se 0.789 0.848 0.920
H 0.750 0.678 0.178
Se 0.289 0.580 0.652
Y 0.250 0.633 0.133
Y 0.750 0.367 0.867
CELL_PARAMETERS angstrom
7.140 0.000 0.836
2.187 4.285 -3.028
-2.187 4.285 3.028
```

2.
Entry from the Alexandria database: crystalline YHSe2 at its relaxed geometry (PBE). Values from VASP.

```
&SYSTEM
  ibrav = 0, nat = 4, ntyp = 3
/
ATOMIC_SPECIES
H 1.01 H.upf
Se 78.96 Se.upf
Y 88.91 Y.upf
ATOMIC_POSITIONS crystal
H 0.333 0.667 0.524
Se 0.333 0.667 0.746
Y 0.000 0.000 0.990
Se 0.667 0.333 0.196
CELL_PARAMETERS angstrom
1.036 1.172 3.956
-3.781 -1.794 -0.766
2.639 -6.030 1.095
```

In terms of stability, 2 leads; the second structure lies 61 meV per atom higher.